Record 1
VASP calculation (PBE) on Dy3Y4Ga4 after structural relaxation.

## Properties
- total moment (μB per cell) = 0.00
- mass density (g/cm3) = 6.5
- final energy (eV per atom) = -5.135
- energy of formation (eV/atom) = -0.428

```
Dy3Y4Ga4
1.0
-1.7903 4.5441 8.8556
1.7903 -4.5441 8.8556
1.7903 4.5441 -8.8556
Dy Y Ga
3 4 4
direct
0.0000 0.0000 0.0000 Dy
0.4040 0.9040 0.5000 Dy
0.5960 0.0960 0.5000 Dy
0.0208 0.3340 0.6868 Y
0.3528 0.6660 0.6868 Y
0.6472 0.3340 0.3132 Y
0.9792 0.6660 0.3132 Y
0.2708 0.2708 0.0000 Ga
0.2770 0.5000 0.7770 Ga
0.7230 0.5000 0.2230 Ga
0.7292 0.7292 0.0000 Ga
```

=====

Record 2
VASP calculation (PBE) on Na2Si12Pt7 after structural relaxation.

## Properties
- total moment (μB per cell) = 0.00
- mass density (g/cm3) = 8.5
- final energy (eV per atom) = -5.652
- uncorrected formation energy (meV/atom) = -413.7

```
Na2Si12Pt7
1.0
10.1600 0.0000 0.0000
-5.0800 8.7988 0.0000
0.0000 0.0000 3.8404
Na Si Pt
2 12 7
direct
0.3333 0.6667 0.2631 Na
0.6667 0.3333 0.7369 Na
0.0698 0.4481 0.7414 Si
0.1172 0.2660 0.2746 Si
0.1488 0.8828 0.2746 Si
0.2660 0.1488 0.7254 Si
0.3783 0.9302 0.7414 Si
0.4481 0.3783 0.2586 Si
0.5519 0.6217 0.7414 Si
0.6217 0.0698 0.2586 Si
0.7340 0.8512 0.2746 Si
0.8512 0.1172 0.7254 Si
0.8828 0.7340 0.7254 Si
0.9302 0.5519 0.2586 Si
0.0000 0.0000 0.5000 Pt
0.1081 0.7079 0.7830 Pt
0.2921 0.4002 0.7830 Pt
0.4002 0.1081 0.2170 Pt
0.5998 0.8919 0.7830 Pt
0.7079 0.5998 0.2170 Pt
0.8919 0.2921 0.2170 Pt
```

=====

Record 3
VASP calculation (PBE) on MgIn2Ru after structural relaxation.

## Properties
- total moment (μB per cell) = 0.00
- mass density (g/cm3) = 8.0
- final energy (eV per atom) = -4.116
- energy of formation (eV/atom) = -0.029

```
MgIn2Ru
1.0
-2.1046 2.1046 4.1776
2.1046 -2.1046 4.1776
2.1046 2.1046 -4.1776
Mg In Ru
1 2 1
direct
0.0000 0.0000 0.0000 Mg
0.2500 0.7500 0.5000 In
0.7500 0.2500 0.5000 In
0.5000 0.5000 0.0000 Ru
```

=====

Record 4
VASP calculation (PBE) on Mn2SiCl after structural relaxation.

## Properties
- total moment (μB per cell) = 6.70
- mass density (g/cm3) = 4.1
- energy above the lowest structure with this stoichiometry (kJ/mol of formula units) = 0
- final energy (eV per atom) = -6.442
- uncorrected formation energy (meV/atom) = -39.8

```
Mn2SiCl
1.0
-1.5649 1.7032 6.6678
1.5649 -1.7032 6.6678
1.5649 1.7032 -6.6678
Mn Si Cl
2 1 1
direct
0.0000 0.0000 0.0000 Mn
0.8215 0.3215 0.5000 Mn
0.4578 0.4578 0.0000 Si
0.2224 0.7224 0.5000 Cl
```

=====

Question: The highest mass density belongs to which entry?
Answer: Na2Si12Pt7